# 1
Here is a relaxed Nd8Te4Se3N crystal from Alexandria. Energies are from PBE-GGA.

a = 8.5226 Å, b = 8.5226 Å, c = 21.5684 Å
α = 90.00°, β = 90.00°, γ = 120.00°
Last column: nearest neighbours and their distance in Å.
Space group R-3m (No. 166, hexagonal axes)
Asymmetric unit:
Nd  0.0000  0.0000  0.2407 (multiplicity 6)  3 Se 2.93, 3 Te 3.17
Nd  0.0367  0.5184  0.2344 (multiplicity 18)  1 N 2.63
Te  0.0000  0.0000  0.0000 (multiplicity 3)  6 Nd 3.47
Te  0.0000  0.5000  0.0000 (multiplicity 9)  6 Nd 3.16-3.17
Se  0.0000  0.5000  0.5000 (multiplicity 9)  6 Nd 2.93-2.99
N  0.0000  0.0000  0.5000 (multiplicity 3)  6 Nd 2.63

Summary:
Total moment: 0.00 μB per formula unit
Fermi-level density of states: 15.6 states/eV per cell
Energy relative to the elements, uncorrected: -1.55 eV per atom
Crystal system: trigonal
Total energy: -5.897 eV/atom

# 2
Here is a relaxed Tm8Pd2Pt crystal from Alexandria. Energies are from PBE-GGA.

a = 8.2117 Å, b = 13.0827 Å, c = 5.7843 Å
α = 90.00°, β = 110.63°, γ = 90.00°
Last column: nearest neighbours and their distance in Å.
Space group Cm (No. 8)
Asymmetric unit:
Tm  0.0000  0.0000  0.0000 (multiplicity 2)  1 Pt 2.93, 2 Pd 3.17
Tm  0.0795  0.3746  0.7961 (multiplicity 4)  2 Pd 2.79-2.87, 1 Pt 3.04
Tm  0.1492  0.1250  0.5875 (multiplicity 4)  2 Pd 2.77-2.83, 1 Pt 2.99
Tm  0.2268  0.5000  0.3650 (multiplicity 2)  1 Pt 2.95, 2 Pd 3.12
Tm  0.3648  0.2078  0.1828 (multiplicity 4)  1 Pt 2.87, 2 Pd 3.12-3.17
Pd  0.3594  0.3022  0.6749 (multiplicity 4)  4 Tm 2.77-2.87
Pt  0.3626  0.0000  0.0224 (multiplicity 2)  8 Tm 2.87-3.04

Summary:
Excess energy over the best structure of this formula in the dataset: 2.27 kcal/mol of atoms
Total moment: 0.00 μB per formula unit
Formation energy from the elements: -47 kJ per mole of atoms
Fermi-level density of states: 27.8 states/eV per cell
Crystal system: monoclinic
Total energy: -5.235 eV/atom

> The highest total energy belongs to which entry?

Tm8Pd2Pt

> Fermi-level density of states of number 2 (Tm8Pd2Pt)?

27.8 states/eV per cell

Copy entry 2 word for word.
Here is a relaxed Tm8Pd2Pt crystal from Alexandria. Energies are from PBE-GGA.

a = 8.2117 Å, b = 13.0827 Å, c = 5.7843 Å
α = 90.00°, β = 110.63°, γ = 90.00°
Last column: nearest neighbours and their distance in Å.
Space group Cm (No. 8)
Asymmetric unit:
Tm  0.0000  0.0000  0.0000 (multiplicity 2)  1 Pt 2.93, 2 Pd 3.17
Tm  0.0795  0.3746  0.7961 (multiplicity 4)  2 Pd 2.79-2.87, 1 Pt 3.04
Tm  0.1492  0.1250  0.5875 (multiplicity 4)  2 Pd 2.77-2.83, 1 Pt 2.99
Tm  0.2268  0.5000  0.3650 (multiplicity 2)  1 Pt 2.95, 2 Pd 3.12
Tm  0.3648  0.2078  0.1828 (multiplicity 4)  1 Pt 2.87, 2 Pd 3.12-3.17
Pd  0.3594  0.3022  0.6749 (multiplicity 4)  4 Tm 2.77-2.87
Pt  0.3626  0.0000  0.0224 (multiplicity 2)  8 Tm 2.87-3.04

Summary:
Excess energy over the best structure of this formula in the dataset: 2.27 kcal/mol of atoms
Total moment: 0.00 μB per formula unit
Formation energy from the elements: -47 kJ per mole of atoms
Fermi-level density of states: 27.8 states/eV per cell
Crystal system: monoclinic
Total energy: -5.235 eV/atom

What did the first record say?
Here is a relaxed Nd8Te4Se3N crystal from Alexandria. Energies are from PBE-GGA.

a = 8.5226 Å, b = 8.5226 Å, c = 21.5684 Å
α = 90.00°, β = 90.00°, γ = 120.00°
Last column: nearest neighbours and their distance in Å.
Space group R-3m (No. 166, hexagonal axes)
Asymmetric unit:
Nd  0.0000  0.0000  0.2407 (multiplicity 6)  3 Se 2.93, 3 Te 3.17
Nd  0.0367  0.5184  0.2344 (multiplicity 18)  1 N 2.63
Te  0.0000  0.0000  0.0000 (multiplicity 3)  6 Nd 3.47
Te  0.0000  0.5000  0.0000 (multiplicity 9)  6 Nd 3.16-3.17
Se  0.0000  0.5000  0.5000 (multiplicity 9)  6 Nd 2.93-2.99
N  0.0000  0.0000  0.5000 (multiplicity 3)  6 Nd 2.63

Summary:
Total moment: 0.00 μB per formula unit
Fermi-level density of states: 15.6 states/eV per cell
Energy relative to the elements, uncorrected: -1.55 eV per atom
Crystal system: trigonal
Total energy: -5.897 eV/atom